## SrZn (GGA-PBEsol)

Data for crystalline SrZn at its relaxed geometry.

Unit cell a=4.0603 b=7.1020 c=7.5171 alpha=118.19 beta=105.67 gamma=90.00
Closest atoms and distances in Å follow each position.
Positions (direct):
Zn 0.6013 0.0984 0.2027  3 Zn 2.56-2.76
Zn 0.3987 0.8957 0.7973  3 Zn 2.56-2.76
Zn 0.0000 0.1888 0.0000  4 Zn 2.76
Sr 0.7042 0.5939 0.4084  3 Zn 3.08-3.27
Sr 0.0000 0.7053 0.0000  5 Zn 3.17-3.43
Sr 0.2958 0.1855 0.5916  3 Zn 3.08-3.27

Computed properties:
Space group: Imm2, No. 44
Energy in eV per atom: -1.78
Formation energy from the elements in meV per atom: -72